Record 1
! Li4CaB10H4O20 (PBE-GGA, relaxed); values from VASP
&SYSTEM
  ibrav = 0, nat = 78, ntyp = 5
/
ATOMIC_SPECIES
Li 6.94 Li.upf
Ca 40.08 Ca.upf
B 10.81 B.upf
H 1.01 H.upf
O 16.00 O.upf
CELL_PARAMETERS angstrom
8.3761 0.0000 0.0000
0.0000 8.8985 0.0000
0.0000 0.0000 9.5360
ATOMIC_POSITIONS angstrom
Li 1.4748 3.9389 7.5384
Li 6.9014 4.9596 7.5384
Li 6.9014 8.3882 2.7704
Li 1.4748 0.5103 2.7704
Li 2.7118 8.4863 9.4110
Li 5.6643 0.4122 9.4110
Li 5.6643 4.0370 4.6430
Li 2.7118 4.8615 4.6430
Ca 0.0000 4.4493 1.5757
Ca 0.0000 0.0000 6.3437
B 3.6097 2.3294 8.4785
B 4.7664 6.5691 8.4785
B 4.7664 6.7787 3.7105
B 3.6097 2.1199 3.7105
B 0.5955 6.6668 8.5859
B 7.7807 2.2318 8.5859
B 7.7807 2.2175 3.8179
B 0.5955 6.6810 3.8179
B 4.1881 4.4493 7.2733
B 4.1881 0.0000 2.5053
B 2.6550 6.4323 7.1289
B 5.7211 2.4663 7.1289
B 5.7211 1.9830 2.3609
B 2.6550 6.9155 2.3609
B 1.5146 2.4488 5.1784
B 6.8616 6.4497 5.1784
B 6.8616 6.8981 0.4104
B 1.5146 2.0005 0.4104
B 0.0000 4.4493 4.8702
B 0.0000 0.0000 0.1022
H 2.6634 1.1290 6.3002
H 5.7128 7.7695 6.3002
H 5.7128 5.5783 1.5322
H 2.6634 3.3203 1.5322
H 2.6521 7.5667 5.3986
H 5.7241 1.3318 5.3986
H 5.7241 3.1175 0.6306
H 2.6521 5.7811 0.6306
O 0.8591 3.6338 5.6885
O 7.5171 5.2647 5.6885
O 7.5171 8.0831 0.9206
O 0.8591 0.8155 0.9206
O 3.3044 3.6294 8.1746
O 5.0717 5.2691 8.1746
O 5.0717 8.0787 3.4066
O 3.3044 0.8198 3.4066
O 1.4850 5.8868 7.9072
O 6.8912 3.0118 7.9072
O 6.8912 1.4375 3.1392
O 1.4850 7.4610 3.1392
O 2.7320 1.5804 9.2290
O 5.6441 7.3182 9.2290
O 5.6441 6.0297 4.4610
O 2.7320 2.8689 4.4610
O 3.3395 5.3329 6.4679
O 5.0367 3.5656 6.4679
O 5.0367 0.8837 1.6999
O 3.3395 8.0149 1.6999
O 0.5516 2.8296 9.0909
O 7.8245 6.0689 9.0909
O 7.8245 7.2789 4.3229
O 0.5516 1.6197 4.3229
O 3.5802 7.1610 8.0802
O 4.7960 1.7375 8.0802
O 4.7960 2.7117 3.3122
O 3.5802 6.1868 3.3122
O 1.7995 1.5702 6.3439
O 6.5766 7.3283 6.3439
O 6.5766 6.0195 1.5759
O 1.7995 2.8790 1.5759
O 2.0648 7.3997 6.1562
O 6.3114 1.4988 6.1562
O 6.3114 2.9505 1.3882
O 2.0648 5.9481 1.3882
O 0.8110 8.0305 8.6864
O 7.5652 0.8681 8.6864
O 7.5652 3.5812 3.9184
O 0.8110 5.3174 3.9184
! Total DFT energy (no corrections) = -555.28 eV per cell
! Space-group type = Pnc2

***

Record 2
! CaMgB6H22O22 (PBE-GGA, relaxed); values from VASP
&SYSTEM
  ibrav = 0, nat = 104, ntyp = 5
/
ATOMIC_SPECIES
Ca 40.08 Ca.upf
Mg 24.30 Mg.upf
B 10.81 B.upf
H 1.01 H.upf
O 16.00 O.upf
CELL_PARAMETERS angstrom
7.0671 -0.0304 -0.0087
3.1518 6.3254 -0.0087
-0.1306 -0.0804 19.3820
ATOMIC_POSITIONS angstrom
Ca 6.1996 1.3047 4.8368
Ca 3.8887 4.9099 14.5278
Mg 0.0000 0.0000 0.0000
Mg -0.0653 -0.0402 9.6910
B 1.1887 0.3320 2.9021
B 9.3224 5.3425 6.7714
B 8.8997 5.8826 16.4624
B 0.7659 0.8721 12.5931
B 2.7485 4.7197 2.7459
B 4.7020 5.9231 6.9276
B 7.3399 1.4948 16.6186
B 5.3863 0.2914 12.4369
B 5.1810 4.3295 3.1496
B 3.9563 3.5751 6.5239
B 4.9074 1.8850 16.2149
B 6.1321 2.6394 12.8406
H 2.0825 1.1509 1.2144
H 8.1890 4.9125 8.4592
H 8.0058 5.0636 18.1502
H 1.8994 1.3020 10.9053
H 1.5965 2.3283 3.6313
H 7.3560 5.8762 6.0422
H 8.4918 3.8863 15.7332
H 2.7323 0.3383 13.3223
H 7.1136 3.7988 3.3701
H 3.5609 1.6103 6.3034
H 2.9747 2.4157 15.9944
H 6.5274 4.6042 13.0611
H 8.5787 4.6128 4.3537
H 2.1749 0.6679 5.3198
H 1.5096 1.6018 15.0108
H 7.9134 5.5466 14.0447
H 2.7552 3.8643 0.8506
H 5.4629 5.5323 8.8229
H 7.3331 2.3502 18.5139
H 4.6254 0.6822 10.5416
H 5.1859 1.1282 1.6289
H 6.8133 2.1306 8.0446
H 4.9024 5.0864 17.7356
H 3.2751 4.0839 11.3199
H 4.7278 1.5502 0.1773
H 6.6424 2.7296 9.4962
H 5.3605 4.6643 19.1872
H 3.4459 3.4849 9.8683
H 3.6742 0.4702 3.2013
H 8.0809 3.1848 6.4722
H 6.4141 5.7443 16.1632
H 2.0075 3.0297 12.8923
H 3.9832 2.0721 3.1201
H 6.5112 3.6294 6.5534
H 6.1052 4.1424 16.2444
H 3.5771 2.5851 12.8111
H 6.6008 3.0738 0.8692
H 4.4391 1.7422 8.8043
H 3.4875 3.1407 18.4953
H 5.6492 4.4724 10.5602
H 7.7530 4.1725 0.8476
H 2.9396 1.2074 8.8259
H 2.3354 2.0421 18.5169
H 7.1487 5.0072 10.5386
O 3.0447 6.0728 3.1614
O 3.3603 6.2672 6.5121
O 7.0436 0.1417 16.2031
O 6.7281 -0.0527 12.8524
O 1.2022 0.8495 1.4969
O 8.8541 5.5632 8.1766
O 8.8862 5.3650 17.8676
O 1.2342 0.6513 11.1879
O 1.3836 1.4048 3.9154
O 8.2766 5.6510 5.7581
O 8.7047 4.8097 15.4491
O 1.8118 0.5636 13.6064
O 5.4548 5.6740 3.0654
O 2.6323 3.9354 6.6081
O 4.6335 0.5405 16.2991
O 7.4560 2.2792 12.7564
O 3.9217 3.8135 2.9599
O 4.9836 4.4677 6.7136
O 6.1667 2.4010 16.4046
O 5.1047 1.7468 12.6509
O 6.1836 3.4094 3.4220
O 4.3270 2.2658 6.2515
O 3.9047 2.8051 15.9425
O 5.7613 3.9488 13.1130
O 8.6647 4.1466 3.4787
O 2.5526 0.3815 6.1948
O 1.4237 2.0679 15.8858
O 7.5357 5.8330 13.1697
O 2.4321 4.7046 1.2557
O 4.8579 6.1989 8.4178
O 7.6562 1.5100 18.1088
O 5.2305 0.0157 10.9467
O 5.5206 1.2465 0.6889
O 6.5570 1.8850 8.9846
O 4.5677 4.9680 18.6756
O 3.5313 4.3296 10.3799
O 4.3891 1.1600 3.1432
O 7.1433 2.8566 6.5303
O 5.6993 5.0545 16.2213
O 2.9451 3.3579 12.8342
O 6.9633 3.8268 0.3483
O 3.6035 1.7571 9.3252
O 3.1250 2.3877 19.0162
O 6.4848 4.4574 10.0393
! Total DFT energy (no corrections) = -621.76 eV per cell
! Space-group type = C2/c

***

Record 3
! CaMnBH2 (PBE-GGA, relaxed); values from VASP
&SYSTEM
  ibrav = 0, nat = 5, ntyp = 4
/
ATOMIC_SPECIES
H 1.01 H.upf
Ca 40.08 Ca.upf
Mn 54.94 Mn.upf
B 10.81 B.upf
CELL_PARAMETERS angstrom
-1.4258 -0.6899 3.3472
-3.3237 -0.5641 -1.5320
0.8370 -3.7829 -0.4231
ATOMIC_POSITIONS angstrom
H -1.6619 -0.2820 -0.7660
H -0.7129 -0.3449 1.6736
Ca -1.9562 -2.5184 0.6960
Mn 0.0000 0.0000 0.0000
B 0.4185 -1.8914 -0.2116
! Total DFT energy (no corrections) = -24.51 eV per cell
! Space-group type = P4/mmm

***

Record 4
! CaB2H13N3 (PBE-GGA, relaxed); values from VASP
&SYSTEM
  ibrav = 0, nat = 76, ntyp = 4
/
ATOMIC_SPECIES
Ca 40.08 Ca.upf
B 10.81 B.upf
H 1.01 H.upf
N 14.01 N.upf
CELL_PARAMETERS angstrom
7.3113 0.0000 0.0000
0.0000 10.2929 0.0191
0.0000 -4.8839 9.0963
ATOMIC_POSITIONS angstrom
Ca 1.6956 -2.7536 7.2044
Ca 5.3512 3.0161 1.9014
Ca 5.6157 8.1626 1.9109
Ca 1.9600 2.3928 7.2139
B 4.3595 5.8489 3.1406
B 0.7038 4.7065 5.9842
B 2.9518 -0.4399 5.9747
B 6.6074 0.7025 3.1311
B 6.8099 -1.6171 8.1380
B 3.1543 1.8797 0.9678
B 0.5013 7.0261 0.9773
B 4.1570 3.5293 8.1475
H 3.1872 6.2060 3.1936
H 6.8428 4.3495 5.9313
H 4.1241 -0.7970 5.9217
H 0.4685 1.0595 3.1841
H 5.0622 6.6845 3.7462
H 1.4065 3.8709 5.3787
H 2.2491 -1.2756 5.3691
H 5.9047 1.5381 3.7367
H 4.7098 5.9060 1.9344
H 1.0542 4.6494 7.1905
H 2.6014 -0.4970 7.1809
H 6.2571 0.7596 1.9249
H 3.7000 4.0891 4.1798
H 0.0444 6.4663 4.9450
H 3.6113 1.3198 4.9355
H 7.2669 -1.0573 4.1703
H 5.2732 4.3808 4.4454
H 1.6175 6.1746 4.6794
H 2.0381 1.0282 4.6699
H 5.6937 -0.7657 4.4359
H 6.6049 -2.8425 8.1895
H 2.9493 3.1050 0.9163
H 0.7063 8.2515 0.9258
H 4.3620 2.3039 8.1991
H 7.0320 -1.3680 6.9290
H 3.3764 1.6305 2.1768
H 0.2793 6.7770 2.1863
H 3.9349 3.7784 6.9385
H 0.5628 -1.4104 8.7391
H 4.2184 1.6729 0.3667
H 6.7485 6.8194 0.3762
H 3.0928 3.7361 8.7486
H 5.9384 0.1723 8.9377
H 2.2828 0.0902 0.1681
H 1.3728 5.2367 0.1776
H 5.0285 5.3187 8.9472
H 4.8235 -0.8058 8.2621
H 1.1679 1.0684 0.8437
H 2.4878 6.2148 0.8532
H 6.1434 4.3406 8.2716
H 1.0824 3.4277 2.0926
H 4.7381 -3.1652 7.0132
H 6.2288 1.9813 7.0227
H 2.5732 8.5741 2.1022
H 0.3926 4.8853 2.3889
H 4.0482 5.6701 6.7359
H 6.9187 0.5237 6.7264
H 3.2630 -0.2612 2.3794
H 0.4621 3.7515 3.5699
H 4.1177 6.8039 5.5550
H 6.8492 1.6575 5.5454
H 3.1936 -1.3950 3.5604
N 4.5524 4.4099 3.7191
N 0.8968 6.1455 5.4057
N 2.7588 0.9991 5.3962
N 6.4145 -0.7365 3.7096
N 5.6884 -0.8113 8.8088
N 2.0327 1.0738 0.2970
N 1.6229 6.2202 0.3065
N 5.2785 4.3352 8.8184
N 0.2938 3.8784 2.5659
N 3.9494 6.6770 6.5589
N 7.0175 1.5305 6.5494
N 3.3619 -1.2680 2.5564
! Total DFT energy (no corrections) = -369.86 eV per cell
! Space-group type = P2_1/c